VASP calculation (PBE-GGA) on a relaxed structure of SiTcPd.

Calculated values
Total energy ... -7.236 eV per atom
Magnetic moment ... 0.01 μB per cell
Energy above the lowest structure with this stoichiometry ... 0.00 kcal/mol of atoms
V ... 186 Å³ per cell

a b c (Å): 5.7056 5.7056 5.7056
angles (deg): 90.00 90.00 90.00
Sites, in units of the cell vectors:
Si1 0.0000 0.0000 0.0000
Si2 0.0000 0.5000 0.5000
Si3 0.5000 0.0000 0.5000
Si4 0.5000 0.5000 0.0000
Tc1 0.2500 0.2500 0.2500
Tc2 0.2500 0.7500 0.7500
Tc3 0.7500 0.2500 0.7500
Tc4 0.7500 0.7500 0.2500
Pd1 0.2500 0.2500 0.7500
Pd2 0.2500 0.7500 0.2500
Pd3 0.7500 0.2500 0.2500
Pd4 0.7500 0.7500 0.7500